VASP calculation (PBE) on a relaxed Ca2ZrVCo crystal.

Properties
**Volume**: 143.8 Å³ per cell
**Raw total energy**: -4.24 eV/atom
**ρ**: 3.25 g cm⁻³
**Formation energy from the elements**: 146.5 kJ/mol of atoms

Cell and atoms, written as CIF:
```
data_Ca2ZrVCo
_symmetry_space_group_name_H-M 'P 4/m m m'
_symmetry_Int_Tables_number 123
_symmetry_space_group_name_Hall '-P 4 2'
_cell_length_a 5.7310
_cell_length_b 5.7310
_cell_length_c 4.3771
_cell_angle_alpha 90.00
_cell_angle_beta 90.00
_cell_angle_gamma 90.00
loop_
_atom_site_label
_atom_site_type_symbol
_atom_site_fract_x
_atom_site_fract_y
_atom_site_fract_z
_atom_site_occupancy
Ca1 Ca 0.0000 0.5000 0.0000 1
Zr1 Zr 0.0000 0.0000 0.0000 1
V1 V 0.5000 0.5000 0.5000 1
Co1 Co 0.0000 0.0000 0.5000 1
```